Crystalline Zr2I at its relaxed geometry, computed with PBE-GGA.

Polymorph energy (0 for the lowest one) in meV per atom: 0
Volume in Å³/cell: 154.9
Space group: Fd-3m, No. 227
Magnetic moment in Bohr magnetons per cell: 0.0

POSCAR file:
```
Zr2I
1.0
-3.199 -3.777 3.440
0.871 -0.115 5.963
-4.237 2.155 3.707
I Zr
2 4
Cartesian
0.000 0.000 0.000
-1.641 -0.434 3.278
-1.985 -2.163 6.341
-4.538 -1.028 5.212
-2.504 0.803 6.474
-4.103 -1.086 8.194
```